Record 1
The following is a GGA-PBE calculation of a relaxed structure of Mg3NiTe, from Alexandria via LeMat-Bulk.

Structure (POSCAR):
```
Mg3NiTe
1.0
-0.071 4.858 0.353
-4.017 0.142 -2.753
-2.756 -0.331 4.004
Ni Mg Te
1 3 1
direct
0.000 0.000 0.000
0.000 0.500 0.000
0.000 0.000 0.500
0.500 0.000 0.000
0.500 0.500 0.500
```

- E_tot (eV per atom) = -2.78
- raw formation energy (eV per atom) = -0.042

Record 2
The following is a GGA-PBE calculation of a relaxed structure of Mg2TlNiTe, from Alexandria via LeMat-Bulk.

Structure (POSCAR):
```
Mg2TlNiTe
1.0
-3.178 -1.757 -3.730
-3.567 -2.550 4.241
-2.781 4.391 0.301
Ni Tl Te Mg
1 1 1 2
direct
0.500 0.500 0.500
0.000 0.000 0.000
0.000 0.500 0.000
0.000 0.000 0.500
0.500 0.000 0.000
```

- E_tot (eV per atom) = -1.97
- raw formation energy (eV per atom) = 0.926

Record 3
The following is a GGA-PBE calculation of a relaxed structure of MgNiTeW2, from Alexandria via LeMat-Bulk.

Structure (POSCAR):
```
MgNiTeW2
1.0
4.811 0.000 0.000
0.000 4.067 0.000
0.000 0.000 4.811
Ni Mg Te W
1 1 1 2
direct
0.000 0.500 0.000
0.000 0.000 0.000
0.500 0.500 0.500
0.000 0.000 0.500
0.500 0.000 0.000
```

- E_tot (eV per atom) = -5.27
- raw formation energy (eV per atom) = 2.016

Record 4
The following is a GGA-PBE calculation of a relaxed structure of ThMgNi, from Alexandria via LeMat-Bulk.

Structure (POSCAR):
```
ThMgNi
1.0
6.564 0.000 0.000
-3.282 5.684 0.000
0.000 0.000 11.690
Mg Ni Th
6 6 6
direct
0.500 0.000 0.667
0.000 0.000 0.500
0.000 0.000 0.833
0.000 0.000 0.167
0.500 0.500 0.000
0.000 0.500 0.333
0.389 0.777 0.167
0.777 0.389 0.833
0.611 0.389 0.500
0.611 0.223 0.167
0.389 0.611 0.500
0.223 0.611 0.833
0.500 0.500 0.288
0.000 0.500 0.621
0.500 0.500 0.712
0.000 0.500 0.046
0.500 0.000 0.954
0.500 0.000 0.379
```

- E_tot (eV per atom) = -4.98